CeGd2Zn: optimized geometry, PBE.

Values from the calculation:
As for the energy of formation from the pure elements: -15 meV/atom. The value obtained for the final energy is -8.857 eV/atom. Its total magnetization is 16.224 μB/cell.

Unit cell a=4.8225 b=4.8225 c=4.6332 alpha=90.00 beta=90.00 gamma=90.00
Closest atoms and distances in Å follow each position.
Space group P4/mmm (No. 123)
One atom of each set of equivalent atoms:
Ce  0.0000  0.0000  0.0000  8 Gd 3.34, 4 Zn 3.41
Gd  0.0000  0.5000  0.5000  4 Ce 3.34, 4 Zn 3.34, 4 Gd 3.41
Zn  0.5000  0.5000  0.0000  8 Gd 3.34, 4 Ce 3.41